# 1
# Mn2TePd2

A crystal of Mn2TePd2 relaxed with PBEsol (meta-GGA SCAN, Alexandria).

It has space group I4/mmm (No. 139), with a = 3.756 Å, b = 3.756 Å, c = 12.494 Å, α = 90.00°, β = 90.00° and γ = 90.00°. The distinct sites, in fractional coordinates, are Mn at (0.000, 0.000, 0.110), Te at (0.000, 0.000, 0.500) and Pd at (0.000, 0.500, 0.250).

The calculation puts the electronic total energy at -28.04 eV per atom. Its calculated volume is 176.2 Å³/cell. The calculation puts the uncorrected formation energy at -0.175 eV/atom.

# 2
# MnTePd3

A crystal of MnTePd3 relaxed with PBEsol (meta-GGA SCAN, Alexandria).

It has space group Pm-3m (No. 221), with a = 4.601 Å, b = 4.601 Å, c = 4.601 Å, α = 90.00°, β = 90.00° and γ = 90.00°. The distinct sites, in fractional coordinates, are Mn at (0.000, 0.000, 0.000), Te at (0.500, 0.500, 0.500) and Pd at (0.000, 0.000, 0.500).

The calculation puts the electronic total energy at -30.34 eV per atom. The value obtained for the excess energy over the best structure of this formula in the dataset is 0.694 eV per formula unit. Its calculated volume is 97.4 Å³/cell. The calculation puts the uncorrected formation energy at 0.425 eV/atom.

# 3
# MnTePd3

A crystal of MnTePd3 relaxed with PBEsol (meta-GGA SCAN, Alexandria).

It has space group Pm-3m (No. 221), with a = 4.835 Å, b = 4.835 Å, c = 4.835 Å, α = 90.00°, β = 90.00° and γ = 90.00°. The distinct sites, in fractional coordinates, are Mn at (0.000, 0.000, 0.000), Te at (0.500, 0.500, 0.500) and Pd at (0.000, 0.500, 0.500).

The calculation puts the electronic total energy at -30.48 eV per atom. The value obtained for the excess energy over the best structure of this formula in the dataset is 0.000 eV per formula unit. Its calculated volume is 113.0 Å³/cell. The calculation puts the uncorrected formation energy at 0.286 eV/atom.

# 4
# Mn3TlPd

A crystal of Mn3TlPd relaxed with PBEsol (meta-GGA SCAN, Alexandria).

It has space group Pm-3m (No. 221), with a = 4.911 Å, b = 4.911 Å, c = 4.911 Å, α = 90.00°, β = 90.00° and γ = 90.00°. The distinct sites, in fractional coordinates, are Mn at (0.000, 0.000, 0.500), Tl at (0.000, 0.000, 0.000) and Pd at (0.500, 0.500, 0.500).

The calculation puts the electronic total energy at -31.03 eV per atom. Its calculated volume is 118.5 Å³/cell. Its formation energy is 0.95 eV per atom.

# 5
# MnTlPd2

A crystal of MnTlPd2 relaxed with PBEsol (meta-GGA SCAN, Alexandria).

It has space group Fm-3m (No. 225), with a = 6.363 Å, b = 6.363 Å, c = 6.363 Å, α = 90.00°, β = 90.00° and γ = 90.00°. The distinct sites, in fractional coordinates, are Mn at (0.000, 0.000, 0.000), Tl at (0.000, 0.000, 0.500) and Pd at (0.250, 0.250, 0.250).

The calculation puts the electronic total energy at -39.38 eV per atom. Its calculated volume is 257.6 Å³/cell. Its formation energy is -0.34 eV per atom.

# 6
# MnZn2PdW

A crystal of MnZn2PdW relaxed with PBEsol (meta-GGA SCAN, Alexandria).

It has space group P4/mmm (No. 123), with a = 4.547 Å, b = 4.547 Å, c = 4.793 Å, α = 90.00°, β = 90.00° and γ = 90.00°. The distinct sites, in fractional coordinates, are Mn at (0.000, 0.000, 0.000), Zn at (0.000, 0.500, 0.500), Pd at (0.500, 0.500, 0.500) and W at (0.500, 0.500, 0.000).

The calculation puts the electronic total energy at -28.52 eV per atom. Its calculated volume is 99.1 Å³/cell. Its formation energy is 1.03 eV per atom.

# 7
# PrMnSi

A crystal of PrMnSi relaxed with PBEsol (meta-GGA SCAN, Alexandria).

It has space group P4/nmm (No. 129, origin choice 2), with a = 3.952 Å, b = 3.952 Å, c = 7.397 Å, α = 90.00°, β = 90.00° and γ = 90.00°. The distinct sites, in fractional coordinates, are Pr at (0.250, 0.250, 0.172), Mn at (0.250, 0.750, 0.500) and Si at (0.250, 0.250, 0.681).

The calculation puts the electronic total energy at -24.43 eV per atom. Its calculated volume is 115.5 Å³/cell. The calculation puts the uncorrected formation energy at -0.563 eV/atom.

# 8
# TbPrMn4

A crystal of TbPrMn4 relaxed with PBEsol (meta-GGA SCAN, Alexandria).

It has space group F-43m (No. 216), with a = 7.246 Å, b = 7.246 Å, c = 7.246 Å, α = 90.00°, β = 90.00° and γ = 90.00°. The distinct sites, in fractional coordinates, are Tb at (0.000, 0.000, 0.000), Pr at (0.250, 0.250, 0.250) and Mn at (0.126, 0.126, 0.626).

The calculation puts the electronic total energy at -27.00 eV per atom. Its calculated volume is 380.4 Å³/cell. Its formation energy is 0.18 eV per atom.

# 9
# MnPt3

A crystal of MnPt3 relaxed with PBEsol (meta-GGA SCAN, Alexandria).

It has space group Pm-3m (No. 221), with a = 3.868 Å, b = 3.868 Å, c = 3.868 Å, α = 90.00°, β = 90.00° and γ = 90.00°. The distinct sites, in fractional coordinates, are Mn at (0.000, 0.000, 0.000) and Pt at (0.000, 0.500, 0.500).

The calculation puts the electronic total energy at -57.81 eV per atom. Its calculated volume is 57.9 Å³/cell. Its formation energy is -0.60 eV per atom.

# 10
# MnPt2

A crystal of MnPt2 relaxed with PBEsol (meta-GGA SCAN, Alexandria).

It has space group P6/mmm (No. 191), with a = 4.4003 Å, b = 4.4003 Å, c = 2.7218 Å, α = 90.00°, β = 90.00° and γ = 120.00°. The distinct sites, in fractional coordinates, are Mn at (0.0000, 0.0000, 0.0000) and Pt at (0.3333, 0.6667, 0.5000).

The calculation puts the electronic total energy at -53.30 eV per atom. Its calculated volume is 45.6 Å³/cell. Its formation energy is -0.42 eV per atom.

# 11
# MnPt2

A crystal of MnPt2 relaxed with PBEsol (meta-GGA SCAN, Alexandria).

It has space group Fm-3m (No. 225), with a = 5.763 Å, b = 5.763 Å, c = 5.763 Å, α = 90.00°, β = 90.00° and γ = 90.00°. The distinct sites, in fractional coordinates, are Mn at (0.000, 0.000, 0.000) and Pt at (0.250, 0.250, 0.250).

The calculation puts the electronic total energy at -53.18 eV per atom. Its calculated volume is 191.4 Å³/cell. Its formation energy is -0.30 eV per atom.

# 12
# MnPt2

A crystal of MnPt2 relaxed with PBEsol (meta-GGA SCAN, Alexandria).

It has space group I4_1/amd (No. 141, origin choice 2), with a = 3.840 Å, b = 3.840 Å, c = 23.492 Å, α = 90.00°, β = 90.00° and γ = 90.00°. The distinct sites, in fractional coordinates, are Mn at (0.000, 0.250, 0.294), Pt at (0.000, 0.250, 0.124) and Pt at (0.000, 0.250, 0.791).

The calculation puts the electronic total energy at -53.55 eV per atom. Its calculated volume is 346.5 Å³/cell. Its formation energy is -0.67 eV per atom.